Entry 1:
{"formula": "La2Al3CuPt4", "functional": "GGA-PBE", "state": "optimized geometry", "cell": [[-3.5908, 1.5208, 1.9016], [-1.2851, -4.0615, 0.8216], [4.9555, 0.2797, 9.1338]], "species": ["Cu", "La", "Pt", "Al", "Pt", "Pt", "La", "Al", "Pt", "Al"], "frac_coords": [[0.5000, 0.5000, 0.5000], [0.0000, 0.5000, 0.7461], [0.0000, 0.0000, 0.0000], [0.5000, 0.0000, 0.8772], [0.5000, 0.0000, 0.6362], [0.5000, 0.5000, 0.0000], [0.5000, 0.0000, 0.2539], [0.0000, 0.0000, 0.5000], [0.0000, 0.5000, 0.3638], [0.0000, 0.5000, 0.1228]], "total_magnetization_mub_per_cell": 0.00, "space_group": "P-4m2 (115)", "formation_energy_mev_per_atom": -1009}

Entry 2:
{"formula": "SmYEr", "functional": "GGA-PBE", "state": "optimized geometry", "cell": [[-3.5037, -4.5805, 2.2529], [4.4321, -2.3652, -3.6109], [4.9870, 1.8964, 3.1025]], "species": ["Sm", "Y", "Er", "Y", "Er", "Sm"], "frac_coords": [[0.2487, 0.2499, 0.4975], [0.4171, 0.7500, 0.8341], [0.0829, 0.7500, 0.1656], [0.5829, 0.2500, 0.1659], [0.9171, 0.2500, 0.8344], [0.7513, 0.7501, 0.5025]], "de_polymorph_mev_per_atom": 13, "total_magnetization_mub_per_cell": 0.00, "space_group": "C2/c (15)", "formation_energy_mev_per_atom": 20}

Entry 3:
{"formula": "SrIrRu2", "functional": "GGA-PBE", "state": "optimized geometry", "cell": [[5.8100, 0.0025, -0.0008], [3.0554, 4.9417, 0.0008], [-3.7643, -3.6705, 2.4725]], "species": ["Ir", "Ru", "Sr", "Ru"], "frac_coords": [[0.2197, 0.7197, 0.5000], [0.7829, 0.2829, 0.5000], [0.5000, 0.5000, 0.0000], [0.9974, 0.9974, 0.0000]], "de_polymorph_mev_per_atom": 171, "total_magnetization_mub_per_cell": 0.00, "space_group": "Imm2 (44)", "formation_energy_mev_per_atom": 569}